1.
Entry from the Alexandria database: a relaxed Nd7Dy2In2 crystal (GGA-PBE).

Calculated values
Energy of formation from the pure elements in eV per atom: -0.041
V in A^3/atom: 33.816
Final energy in eV per atom: -4.41

Geometry as extended XYZ:
```
11
Lattice="-1.5832 -3.1389 -1.1546 0.0284 -5.5561 9.1361 -9.0404 0.2807 5.7037" Properties=species:S:1:pos:R:3 pbc="T T T"
Nd -4.3027 -2.6184 1.1594
Nd -8.8570 -5.0304 8.0320
Nd -9.5196 -1.4897 5.2446
Nd -3.6400 -4.5487 5.4982
Nd -5.1978 -4.9967 8.8521
Nd -9.0902 -3.9952 11.4669
Nd -5.0503 -1.2521 4.3996
Dy -7.3762 -6.8531 10.9565
Dy -1.7019 -2.5376 3.3029
In -1.8648 -4.3376 8.4195
In -6.7409 -3.2782 6.2963
```


2.
Entry from the Alexandria database: a relaxed NdDyIn crystal (GGA-PBE).

Calculated values
Energy of formation from the pure elements in eV per atom: -0.295
V in A^3/atom: 31.351
Final energy in eV per atom: -4.33

Geometry as extended XYZ:
```
6
Lattice="-0.3918 1.6774 -4.4104 2.1945 -3.8532 -1.6602 -7.4016 -3.8675 -0.8118" Properties=species:S:1:pos:R:3 pbc="T T T"
Nd -2.3503 -1.0658 -4.0088
Nd -3.2486 -4.9775 -2.8736
Dy 1.3521 -1.6319 -4.5531
Dy 0.4506 -0.5439 -1.5175
In -0.3952 -3.4853 -2.5611
In -5.2037 -2.5580 -4.3213
```


3.
Entry from the Alexandria database: a relaxed NdDy2InO crystal (GGA-PBE).

Calculated values
Energy relative to the elements, uncorrected in eV/atom: -1.415
V in A^3/atom: 22.866
Final energy in eV per atom: -5.75

Geometry as extended XYZ:
```
5
Lattice="4.9956 0.0000 0.0000 0.0000 4.7839 0.0000 0.0000 0.0000 4.7839" Properties=species:S:1:pos:R:3 pbc="T T T"
Nd 2.4978 0.0000 0.0000
Dy 0.0000 0.0000 2.3920
Dy 0.0000 2.3920 0.0000
In 2.4978 2.3920 2.3920
O 0.0000 0.0000 0.0000
```